Compound: ZnFe4O9
Source: the Alexandria database
Functional: GGA+U
Structure: optimized geometry

Properties
E, Ry per atom: -0.4214
Symmetry: P4/n, No. 85

a b c (Å): 8.429 8.429 5.146
angles (deg): 90.00 90.00 90.00
Fractional coordinates of all 28 atoms:
Zn 0.250 0.250 0.017
Zn 0.750 0.750 0.983
Fe 0.032 0.660 0.385
Fe 0.160 0.968 0.615
Fe 0.340 0.532 0.615
Fe 0.468 0.840 0.385
Fe 0.532 0.160 0.615
Fe 0.660 0.468 0.385
Fe 0.840 0.032 0.385
Fe 0.968 0.340 0.615
O 0.032 0.318 0.955
O 0.039 0.143 0.462
O 0.143 0.461 0.462
O 0.182 0.032 0.955
O 0.250 0.750 0.500
O 0.318 0.468 0.955
O 0.357 0.039 0.462
O 0.461 0.357 0.462
O 0.468 0.182 0.955
O 0.532 0.818 0.045
O 0.539 0.643 0.538
O 0.643 0.961 0.538
O 0.682 0.532 0.045
O 0.750 0.250 0.500
O 0.818 0.968 0.045
O 0.857 0.539 0.538
O 0.961 0.857 0.538
O 0.968 0.682 0.045